A relaxed structure of Cr2GaO6. Source: Alexandria, functional GGA+U.

CIF file:
```
data_Cr2GaO6
_chemical_formula_sum 'Cr4 Ga2 O12'
_cell_length_a 4.517
_cell_length_b 4.517
_cell_length_c 8.957
_cell_angle_alpha 90.00
_cell_angle_beta 90.00
_cell_angle_gamma 90.00
_space_group_name_H-M_alt 'P 42/m n m'
_space_group_IT_number 136
_space_group_name_Hall '-P 4n 2n'
loop_
_atom_site_label
_atom_site_fract_x
_atom_site_fract_y
_atom_site_fract_z
_atom_site_occupancy
Cr1 0.000 0.000 0.166 1
Ga1 0.000 0.000 0.500 1
O1 0.191 0.191 0.000 1
O2 0.201 0.201 0.330 1
```

- Theoretical density: 4.9 g cm⁻³
- Total magnetic moment: 6.00 μB per cell
- Calculated total energy: -122.26 eV for the cell shown
- Density of states at the Fermi level: 3.70 states/eV/f.u.